Density functional theory data (GGA-PBEsol) for a relaxed structure of TlTe2.

Computed properties:
Formation energy from raw total energies in eV/atom: -0.046
SG: Imma (74)
Spin magnetization in μB per formula unit: 0.00

Unit cell a=8.876 b=8.876 c=8.876 alpha=153.94 beta=140.77 gamma=47.70
Atoms (fractional coordinates):
Tl1 0.413 0.163 0.250
Tl2 0.587 0.837 0.750
Te1 0.075 0.325 0.750
Te2 0.252 0.502 0.750
Te3 0.748 0.498 0.250
Te4 0.925 0.675 0.250

=====

Density functional theory data (GGA-PBEsol) for a relaxed structure of KLaSiS4.

Computed properties:
Formation energy from raw total energies in eV/atom: -1.495
SG: P2_1/m (11)
Spin magnetization in μB per formula unit: 0.00

Unit cell a=6.501 b=6.496 c=8.677 alpha=90.00 beta=107.24 gamma=90.00
Atoms (fractional coordinates):
K1 0.226 0.250 0.434
K2 0.774 0.750 0.566
La1 0.267 0.250 0.949
La2 0.733 0.750 0.051
Si1 0.289 0.750 0.187
Si2 0.711 0.250 0.813
S1 0.091 0.750 0.339
S2 0.110 0.750 0.937
S3 0.498 0.505 0.772
S4 0.498 0.995 0.772
S5 0.502 0.005 0.228
S6 0.502 0.495 0.228
S7 0.890 0.250 0.063
S8 0.909 0.250 0.661

=====

Density functional theory data (GGA-PBEsol) for a relaxed structure of HgHOs2.

Computed properties:
Total energy in eV per atom: -5.40
SG: Fm-3m (225)
Spin magnetization in μB per formula unit: 0.00

Unit cell a=4.263 b=4.263 c=4.263 alpha=60.00 beta=60.00 gamma=60.00
Atoms (fractional coordinates):
Hg1 0.000 0.000 0.000
H1 0.500 0.500 0.500
Os1 0.250 0.250 0.250
Os2 0.750 0.750 0.750

=====

Density functional theory data (GGA-PBEsol) for a relaxed structure of KSr3Pt.

Computed properties:
Formation energy in eV/atom: -0.349
SG: Pm-3m (221)
Spin magnetization in μB per formula unit: 0.00

Unit cell a=6.010 b=6.010 c=6.010 alpha=90.00 beta=90.00 gamma=90.00
Atoms (fractional coordinates):
K1 0.000 0.000 0.000
Sr1 0.000 0.500 0.500
Sr2 0.500 0.000 0.500
Sr3 0.500 0.500 0.000
Pt1 0.500 0.500 0.500

=====

Density functional theory data (GGA-PBEsol) for a relaxed structure of Ba3AgF.

Computed properties:
Formation energy from raw total energies in eV/atom: -0.397
SG: Pm-3m (221)
Spin magnetization in μB per formula unit: 0.00

Unit cell a=6.349 b=6.349 c=6.349 alpha=90.00 beta=90.00 gamma=90.00
Atoms (fractional coordinates):
Ba1 0.000 0.000 0.500
Ba2 0.000 0.500 0.000
Ba3 0.500 0.000 0.000
Ag1 0.000 0.000 0.000
F1 0.500 0.500 0.500

=====

Density functional theory data (GGA-PBEsol) for a relaxed structure of BaTc2.

Computed properties:
Formation energy in eV/atom: 2.492
SG: Fm-3m (225)
Spin magnetization in μB per formula unit: 0.00

Unit cell a=4.472 b=4.472 c=4.472 alpha=60.00 beta=60.00 gamma=60.00
Atoms (fractional coordinates):
Ba1 0.000 0.000 0.000
Tc1 0.250 0.250 0.250
Tc2 0.750 0.750 0.750